[1]
SmScPb | PBE | optimized geometry

```
3
Lattice="-5.0747 -0.7371 0.7793 -3.4037 1.2702 -3.7020 -2.5101 -3.7192 -2.6019" Properties=species:S:1:pos:R:3 pbc="T T T"
Sm 0.0000 0.0000 0.0000
Sc -8.2413 -2.3896 -4.1434
Pb -2.7471 -0.7965 -1.3811
```

Properties
Space-group type = No. 216
Excess energy over the best structure of this formula in the dataset = 824.3 meV/atom


[2]
Co2Re3 | PBE | optimized geometry

```
10
Lattice="-6.1792 0.0000 0.0000 3.0896 -5.3513 0.0000 -3.0896 1.7838 4.1024" Properties=species:S:1:pos:R:3 pbc="T T T"
Co -3.0896 -1.7838 3.1538
Co -6.1792 0.0000 1.1026
Co -3.0896 -1.7838 0.9486
Co 0.0000 -3.5676 2.9998
Re -4.6160 0.0000 3.0768
Re -3.8712 -3.9976 3.0768
Re -5.3976 -2.2138 1.0256
Re -2.3080 0.4300 1.0256
Re -0.7816 -1.3538 3.0768
Re -1.5632 -3.5676 1.0256
```

Properties
Space-group type = No. 167
Calculated formation energy = 552 meV per atom
Excess energy over the best structure of this formula in the dataset = 342.4 meV/atom


[3]
NaIrSeO | PBE | optimized geometry

```
16
Lattice="5.1573 0.0000 0.0000 0.0009 5.2700 0.0000 0.0005 0.5483 9.7103" Properties=species:S:1:pos:R:3 pbc="T T T"
Na 5.0401 1.4030 4.1686
Na 2.9399 3.8636 2.4317
Na 2.4623 4.4153 5.5415
Na 0.3615 1.9547 7.2787
Ir 4.8054 0.1935 1.1682
Ir 2.2285 5.6245 8.5418
Ir 3.5330 3.3783 8.5347
Ir 0.9537 2.4403 1.1757
Se 2.8327 1.2398 2.2515
Se 2.9255 1.8058 6.4452
Se 0.2551 4.5783 7.4588
Se 0.3466 4.0127 3.2651
O 1.4604 4.5118 0.6049
O 1.7378 2.4252 9.1127
O 4.0390 1.3065 9.1057
O 4.3161 3.3930 0.5976
```

Properties
Space-group type = No. 4
Excess energy over the best structure of this formula in the dataset = 215.6 meV/atom


[4]
DyAuNO | PBE | optimized geometry

```
8
Lattice="-2.0341 -3.5232 0.0000 0.0000 0.0000 5.1593 -6.3451 3.6633 0.0000" Properties=species:S:1:pos:R:3 pbc="T T T"
Au -3.3253 1.9198 0.3797
Au -3.0198 1.7435 2.9594
Dy -6.3591 1.3227 2.3630
Dy -2.0201 -1.1825 4.9427
N -1.8480 1.0670 4.4146
N -4.4970 2.5964 1.8350
O -6.6122 1.4688 4.4718
O -1.7670 -1.3286 1.8921
```

Properties
Space-group type = No. 26
Excess energy over the best structure of this formula in the dataset = 181.8 meV/atom